Entry 1:
First-principles (GGA-PBE) data for crystalline Be2MoBr at its relaxed geometry, as listed in Alexandria.

As for the crystal system: tetragonal. The value obtained for the uncorrected formation energy is 371 kJ/mol of formula units. Its magnetic moment is 0.3 μB/f.u. Its relative energy among the computed polymorphs is 2.85 eV/f.u. The calculation puts the total energy at -4.0274 eV per atom.

Structure (CIF):
```
data_Be2MoBr
_cell_length_a 4.898
_cell_length_b 4.898
_cell_length_c 4.898
_cell_angle_alpha 136.68
_cell_angle_beta 136.68
_cell_angle_gamma 62.92
_space_group_name_H-M_alt 'P 1'
_space_group_IT_number 1
_space_group_name_Hall 'P 1'
loop_
_atom_site_label
_atom_site_type_symbol
_atom_site_fract_x
_atom_site_fract_y
_atom_site_fract_z
Be1 Be 0.000 0.000 0.000
Be2 Be 0.500 0.500 0.000
Mo1 Mo 0.750 0.250 0.500
Br1 Br 0.250 0.750 0.500
```

Entry 2:
First-principles (GGA-PBE) data for crystalline Be2MoBr at its relaxed geometry, as listed in Alexandria.

As for the crystal system: orthorhombic. The value obtained for the uncorrected formation energy is 221 kJ/mol of formula units. Its magnetic moment is 0.0 μB/f.u. Its relative energy among the computed polymorphs is 1.30 eV/f.u. The calculation puts the total energy at -4.4155 eV per atom.

Structure (CIF):
```
data_Be2MoBr
_cell_length_a 2.934
_cell_length_b 2.934
_cell_length_c 7.295
_cell_angle_alpha 90.00
_cell_angle_beta 90.00
_cell_angle_gamma 109.21
_space_group_name_H-M_alt 'P 1'
_space_group_IT_number 1
_space_group_name_Hall 'P 1'
loop_
_atom_site_label
_atom_site_type_symbol
_atom_site_fract_x
_atom_site_fract_y
_atom_site_fract_z
Be1 Be 0.000 0.000 0.982
Be2 Be 0.000 0.000 0.518
Mo1 Mo 0.500 0.500 0.750
Br1 Br 0.500 0.500 0.250
```

Entry 3:
First-principles (GGA-PBE) data for crystalline Be2MoBr at its relaxed geometry, as listed in Alexandria.

As for the crystal system: orthorhombic. The value obtained for the uncorrected formation energy is 337 kJ/mol of formula units. Its magnetic moment is 0.0 μB/f.u. Its relative energy among the computed polymorphs is 2.50 eV/f.u. The calculation puts the total energy at -4.1152 eV per atom.

Structure (CIF):
```
data_Be2MoBr
_cell_length_a 4.977
_cell_length_b 4.977
_cell_length_c 4.977
_cell_angle_alpha 145.40
_cell_angle_beta 126.85
_cell_angle_gamma 64.99
_space_group_name_H-M_alt 'P 1'
_space_group_IT_number 1
_space_group_name_Hall 'P 1'
loop_
_atom_site_label
_atom_site_type_symbol
_atom_site_fract_x
_atom_site_fract_y
_atom_site_fract_z
Be1 Be 0.996 0.996 0.000
Be2 Be 0.504 0.504 0.000
Mo1 Mo 0.250 0.750 0.500
Br1 Br 0.750 0.250 0.500
```

Entry 4:
First-principles (GGA-PBE) data for crystalline Be2MoBr at its relaxed geometry, as listed in Alexandria.

As for the crystal system: orthorhombic. The value obtained for the uncorrected formation energy is 226 kJ/mol of formula units. Its magnetic moment is 0.0 μB/f.u. Its relative energy among the computed polymorphs is 1.34 eV/f.u. The calculation puts the total energy at -4.4037 eV per atom.

Structure (CIF):
```
data_Be2MoBr
_cell_length_a 2.949
_cell_length_b 3.130
_cell_length_c 7.689
_cell_angle_alpha 90.00
_cell_angle_beta 90.00
_cell_angle_gamma 90.00
_space_group_name_H-M_alt 'P 1'
_space_group_IT_number 1
_space_group_name_Hall 'P 1'
loop_
_atom_site_label
_atom_site_type_symbol
_atom_site_fract_x
_atom_site_fract_y
_atom_site_fract_z
Be1 Be 0.000 0.000 0.047
Be2 Be 0.500 0.500 0.193
Mo1 Mo 0.500 0.500 0.894
Br1 Br 0.000 0.000 0.366
```

Entry 5:
First-principles (GGA-PBE) data for crystalline Be2MoBr at its relaxed geometry, as listed in Alexandria.

As for the crystal system: orthorhombic. The value obtained for the uncorrected formation energy is 281 kJ/mol of formula units. Its magnetic moment is 0.0 μB/f.u. Its relative energy among the computed polymorphs is 1.91 eV/f.u. The calculation puts the total energy at -4.2619 eV per atom.

Structure (CIF):
```
data_Be2MoBr
_cell_length_a 4.555
_cell_length_b 4.555
_cell_length_c 2.876
_cell_angle_alpha 90.00
_cell_angle_beta 90.00
_cell_angle_gamma 111.23
_space_group_name_H-M_alt 'P 1'
_space_group_IT_number 1
_space_group_name_Hall 'P 1'
loop_
_atom_site_label
_atom_site_type_symbol
_atom_site_fract_x
_atom_site_fract_y
_atom_site_fract_z
Be1 Be 0.000 0.000 0.000
Be2 Be 0.500 0.500 0.000
Mo1 Mo 0.000 0.500 0.500
Br1 Br 0.500 0.000 0.500
```

Entry 6:
First-principles (GGA-PBE) data for crystalline Be2MoBr2 at its relaxed geometry, as listed in Alexandria.

As for the crystal system: tetragonal. The value obtained for the uncorrected formation energy is 417 kJ/mol of formula units. Its magnetic moment is 2.3 μB/f.u. Its relative energy among the computed polymorphs is 0.00 eV/f.u. The calculation puts the total energy at -3.4616 eV per atom.

Structure (CIF):
```
data_Be2MoBr2
_cell_length_a 7.086
_cell_length_b 7.086
_cell_length_c 3.397
_cell_angle_alpha 90.00
_cell_angle_beta 90.00
_cell_angle_gamma 90.00
_space_group_name_H-M_alt 'P 1'
_space_group_IT_number 1
_space_group_name_Hall 'P 1'
loop_
_atom_site_label
_atom_site_type_symbol
_atom_site_fract_x
_atom_site_fract_y
_atom_site_fract_z
Be1 Be 0.397 0.897 0.000
Be2 Be 0.897 0.603 0.000
Be3 Be 0.603 0.103 0.000
Be4 Be 0.103 0.397 0.000
Mo1 Mo 0.000 0.000 0.000
Mo2 Mo 0.500 0.500 0.000
Br1 Br 0.253 0.753 0.500
Br2 Br 0.753 0.747 0.500
Br3 Br 0.747 0.247 0.500
Br4 Br 0.247 0.253 0.500
```

Entry 7:
First-principles (GGA-PBE) data for crystalline Be3MoBr at its relaxed geometry, as listed in Alexandria.

As for the crystal system: cubic. The value obtained for the uncorrected formation energy is 752 kJ/mol of formula units. Its magnetic moment is 2.7 μB/f.u. Its relative energy among the computed polymorphs is 0.00 eV/f.u. The calculation puts the total energy at -3.1777 eV per atom.

Structure (CIF):
```
data_Be3MoBr
_cell_length_a 4.592
_cell_length_b 4.592
_cell_length_c 4.592
_cell_angle_alpha 90.00
_cell_angle_beta 90.00
_cell_angle_gamma 90.00
_space_group_name_H-M_alt 'P 1'
_space_group_IT_number 1
_space_group_name_Hall 'P 1'
loop_
_atom_site_label
_atom_site_type_symbol
_atom_site_fract_x
_atom_site_fract_y
_atom_site_fract_z
Be1 Be 0.000 0.500 0.000
Be2 Be 0.000 0.000 0.500
Be3 Be 0.500 0.000 0.000
Mo1 Mo 0.000 0.000 0.000
Br1 Br 0.500 0.500 0.500
```

Entry 8:
First-principles (GGA-PBE) data for crystalline Be2MoBr at its relaxed geometry, as listed in Alexandria.

As for the crystal system: cubic. The value obtained for the uncorrected formation energy is 488 kJ/mol of formula units. Its magnetic moment is 0.8 μB/f.u. Its relative energy among the computed polymorphs is 4.06 eV/f.u. The calculation puts the total energy at -3.7246 eV per atom.

Structure (CIF):
```
data_Be2MoBr
_cell_length_a 4.297
_cell_length_b 4.297
_cell_length_c 4.297
_cell_angle_alpha 60.00
_cell_angle_beta 60.00
_cell_angle_gamma 60.00
_space_group_name_H-M_alt 'P 1'
_space_group_IT_number 1
_space_group_name_Hall 'P 1'
loop_
_atom_site_label
_atom_site_type_symbol
_atom_site_fract_x
_atom_site_fract_y
_atom_site_fract_z
Be1 Be 0.250 0.250 0.250
Be2 Be 0.750 0.750 0.750
Mo1 Mo 0.500 0.500 0.500
Br1 Br 0.000 0.000 0.000
```